Record 1
Computed, not measured: a relaxed NaV3Tc crystal at the GGA-PBE level of DFT.

Computed properties:
The relative energy among the computed polymorphs comes out at 0 kJ/mol of formula units. The space group is Pm-3m, No. 221. Its total magnetic moment is 0.00 Bohr magnetons per cell. The value obtained for the energy of formation is 1.0859 eV/atom. The density of states at the Fermi level comes out at 4.6 states/eV/f.u.

abc: 4.625 4.625 4.625
angles: 90.00 90.00 90.00
Sites, in units of the cell vectors:
Na: 0.000 0.000 0.000
V: 0.000 0.500 0.500
V: 0.500 0.000 0.500
V: 0.500 0.500 0.000
Tc: 0.500 0.500 0.500

***

Record 2
Computed, not measured: a relaxed MgTc2Pb crystal at the GGA-PBE level of DFT.

Computed properties:
The relative energy among the computed polymorphs comes out at 5 kJ/mol of formula units. The space group is P4mm, No. 99. Its total magnetic moment is 0.00 Bohr magnetons per cell. The value obtained for the energy of formation is 0.1355 eV/atom. The density of states at the Fermi level comes out at 1.3 states/eV/f.u.

abc: 3.083 3.083 8.291
angles: 90.00 90.00 90.00
Sites, in units of the cell vectors:
Mg: 0.000 0.000 0.000
Tc: 0.000 0.000 0.614
Tc: 0.500 0.500 0.777
Pb: 0.500 0.500 0.345

***

Record 3
Computed, not measured: a relaxed LiAc2Ag6Sn crystal at the GGA-PBE level of DFT.

Computed properties:
The space group is P-1, No. 2. Its total magnetic moment is 0.00 Bohr magnetons per cell. The value obtained for the energy of formation is -0.1395 eV/atom. The density of states at the Fermi level comes out at 4.9 states/eV/f.u.

abc: 6.645 6.653 7.451
angles: 64.00 63.88 60.19
Sites, in units of the cell vectors:
Li: 0.000 0.000 0.000
Ac: 0.224 0.225 0.330
Ac: 0.776 0.775 0.670
Ag: 0.238 0.671 0.850
Ag: 0.240 0.238 0.841
Ag: 0.326 0.763 0.152
Ag: 0.674 0.237 0.848
Ag: 0.760 0.762 0.159
Ag: 0.762 0.329 0.150
Sn: 0.500 0.500 0.500

***

Record 4
Computed, not measured: a relaxed Cr2InAs crystal at the GGA-PBE level of DFT.

Computed properties:
The relative energy among the computed polymorphs comes out at 62 kJ/mol of formula units. The space group is Amm2, No. 38. Its total magnetic moment is 0.79 Bohr magnetons per cell. The value obtained for the energy of formation is 0.3071 eV/atom. The density of states at the Fermi level comes out at 2.2 states/eV/f.u.

abc: 4.513 5.253 5.253
angles: 34.79 90.00 90.00
Sites, in units of the cell vectors:
Cr: 0.000 0.000 0.000
Cr: 0.500 0.388 0.388
In: 0.500 0.654 0.654
As: 0.000 0.292 0.292

***

Record 5
Computed, not measured: a relaxed CaCoTe2N crystal at the GGA-PBE level of DFT.

Computed properties:
The relative energy among the computed polymorphs comes out at 769 kJ/mol of formula units. The space group is P4/mmm, No. 123. Its total magnetic moment is 2.14 Bohr magnetons per cell. The density of states at the Fermi level comes out at 11.0 states/eV/f.u. Its formation energy (no corrections) is 1.3313 eV per atom.

abc: 5.842 5.842 4.347
angles: 90.00 90.00 90.00
Sites, in units of the cell vectors:
Ca: 0.000 0.000 0.000
Co: 0.500 0.500 0.500
Te: 0.000 0.500 0.000
Te: 0.500 0.000 0.000
N: 0.000 0.000 0.500

***

Record 6
Computed, not measured: a relaxed DySc2Nb crystal at the GGA-PBE level of DFT.

Computed properties:
The relative energy among the computed polymorphs comes out at 12 kJ/mol of formula units. The space group is R-3m, No. 166. Its total magnetic moment is 0.00 Bohr magnetons per cell. The value obtained for the energy of formation is 0.1795 eV/atom. The density of states at the Fermi level comes out at 6.3 states/eV/f.u.

abc: 10.813 10.813 10.813
angles: 17.09 17.09 17.09
Sites, in units of the cell vectors:
Dy: 0.000 0.000 0.000
Sc: 0.241 0.241 0.241
Sc: 0.759 0.759 0.759
Nb: 0.500 0.500 0.500